# 1
Entry from Alexandria via LeMat-Bulk: CsBi4Pb2 after structural relaxation (GGA-PBE).

a b c (Å): 4.6474 5.3295 22.6138
angles (deg): 90.00 90.00 90.00
Last column: nearest neighbours and their distance in Å.
Atoms (fractional coordinates):
Cs  0.0000  0.0000  0.0000  12 Bi 4.03-4.33
Cs  0.5000  0.5000  0.5000  12 Bi 4.03-4.33
Bi  0.0000  0.0000  0.4148  2 Bi 3.17, 2 Pb 3.25
Bi  0.0000  0.0000  0.5852  2 Bi 3.17, 2 Pb 3.25
Bi  0.0000  0.5000  0.3385  2 Bi 3.17, 1 Pb 3.45
Bi  0.0000  0.5000  0.6615  2 Bi 3.17, 1 Pb 3.45
Bi  0.5000  0.0000  0.1615  2 Bi 3.17, 1 Pb 3.45
Bi  0.5000  0.0000  0.8385  2 Bi 3.17, 1 Pb 3.45
Bi  0.5000  0.5000  0.0852  2 Bi 3.17, 2 Pb 3.25
Bi  0.5000  0.5000  0.9148  2 Bi 3.17, 2 Pb 3.25
Pb  0.0000  0.5000  0.1859  7 Bi 3.25-3.58
Pb  0.0000  0.5000  0.8141  7 Bi 3.25-3.58
Pb  0.5000  0.0000  0.3141  7 Bi 3.25-3.58
Pb  0.5000  0.0000  0.6859  7 Bi 3.25-3.58

Computed properties:
Calculated density   8.202 g/cm3
V   40.01 Å³ per atom
VASP energy   -3.452 eV per atom
Space-group type   Immm, No. 71
DOS(E_F)   5.90 states/eV per cell

=====

# 2
Entry from Alexandria via LeMat-Bulk: Ac2PuTl after structural relaxation (GGA-PBE).

a b c (Å): 3.7241 3.7241 37.7402
angles (deg): 90.00 90.00 120.00
Last column: nearest neighbours and their distance in Å.
Atoms (fractional coordinates):
Ac  0.0000  0.0000  0.0924  1 Pu 3.49, 3 Tl 3.53, 6 Ac 3.72
Ac  0.0000  0.0000  0.9076  1 Pu 3.49, 3 Tl 3.53, 6 Ac 3.72
Ac  0.3333  0.6667  0.5742  1 Pu 3.49, 3 Tl 3.53, 6 Ac 3.72
Ac  0.3333  0.6667  0.7591  1 Pu 3.49, 3 Tl 3.53, 6 Ac 3.72
Ac  0.6667  0.3333  0.2409  1 Pu 3.49, 3 Tl 3.53, 6 Ac 3.72
Ac  0.6667  0.3333  0.4258  1 Pu 3.49, 3 Tl 3.53, 6 Ac 3.72
Pu  0.0000  0.0000  0.0000  2 Ac 3.49, 6 Pu 3.72
Pu  0.3333  0.6667  0.6667  2 Ac 3.49, 6 Pu 3.72
Pu  0.6667  0.3333  0.3333  2 Ac 3.49, 6 Pu 3.72
Tl  0.0000  0.0000  0.5000  6 Ac 3.53, 6 Tl 3.72
Tl  0.3333  0.6667  0.1667  6 Ac 3.53, 6 Tl 3.72
Tl  0.6667  0.3333  0.8333  6 Ac 3.53, 6 Tl 3.72

Computed properties:
Calculated density   9.917 g/cm3
V   37.77 Å³ per atom
VASP energy   -5.958 eV per atom
Space-group type   R-3m, No. 166
DOS(E_F)   40.87 states/eV per cell

=====

What did the second record say?
Entry from Alexandria via LeMat-Bulk: Ac2PuTl after structural relaxation (GGA-PBE).

a b c (Å): 3.7241 3.7241 37.7402
angles (deg): 90.00 90.00 120.00
Last column: nearest neighbours and their distance in Å.
Atoms (fractional coordinates):
Ac  0.0000  0.0000  0.0924  1 Pu 3.49, 3 Tl 3.53, 6 Ac 3.72
Ac  0.0000  0.0000  0.9076  1 Pu 3.49, 3 Tl 3.53, 6 Ac 3.72
Ac  0.3333  0.6667  0.5742  1 Pu 3.49, 3 Tl 3.53, 6 Ac 3.72
Ac  0.3333  0.6667  0.7591  1 Pu 3.49, 3 Tl 3.53, 6 Ac 3.72
Ac  0.6667  0.3333  0.2409  1 Pu 3.49, 3 Tl 3.53, 6 Ac 3.72
Ac  0.6667  0.3333  0.4258  1 Pu 3.49, 3 Tl 3.53, 6 Ac 3.72
Pu  0.0000  0.0000  0.0000  2 Ac 3.49, 6 Pu 3.72
Pu  0.3333  0.6667  0.6667  2 Ac 3.49, 6 Pu 3.72
Pu  0.6667  0.3333  0.3333  2 Ac 3.49, 6 Pu 3.72
Tl  0.0000  0.0000  0.5000  6 Ac 3.53, 6 Tl 3.72
Tl  0.3333  0.6667  0.1667  6 Ac 3.53, 6 Tl 3.72
Tl  0.6667  0.3333  0.8333  6 Ac 3.53, 6 Tl 3.72

Computed properties:
Calculated density   9.917 g/cm3
V   37.77 Å³ per atom
VASP energy   -5.958 eV per atom
Space-group type   R-3m, No. 166
DOS(E_F)   40.87 states/eV per cell

=====

Look up the VASP energy of the second one. -5.958 eV per atom

=====

Look up the VASP energy of the first one. -3.452 eV per atom